Here is HoTlRu2O8 after structural relaxation from the Alexandria database. Energies are from PBE-GGA.

Cell: 5.661 5.661 8.238 Å, 91.57 91.57 65.03°
Fractional positions:
Ho1 0.000 0.000 0.000
Tl1 0.000 0.000 0.500
Ru1 0.364 0.364 0.227
Ru2 0.636 0.636 0.773
O1 0.222 0.714 0.196
O2 0.226 0.226 0.074
O3 0.286 0.778 0.804
O4 0.300 0.300 0.423
O5 0.700 0.700 0.577
O6 0.714 0.222 0.196
O7 0.774 0.774 0.926
O8 0.778 0.286 0.804

The density of states at the Fermi level comes out at 2.09 states/eV per cell. The volume is 239.2 Å³ per cell. Its space group is C2/m (12). As for the crystal system: monoclinic. The formation energy from raw total energies comes out at -1.330 eV/atom.